The following is a DFT calculation (PBE-GGA) of a geometry-optimized PrPu2CuN4 structure.

Unit cell a=3.498 b=11.348 c=11.460 alpha=90.00 beta=90.00 gamma=90.00
Space group Cmcm (No. 63)
Asymmetric unit:
Pr (0.000, 0.102, 0.250)
Pu (0.000, 0.370, 0.056)
Cu (0.000, 0.165, 0.750)
N (0.000, 0.000, 0.000)
N (0.000, 0.264, 0.609)
N (0.000, 0.442, 0.250)

Properties
Formation energy (no corrections): -8.0 eV per formula unit
DOS at the Fermi energy: 51.58 states/eV per cell
Crystal system: orthorhombic


The following is a DFT calculation (PBE-GGA) of a geometry-optimized Ge2Pt2I structure.

Unit cell a=4.269 b=4.269 c=11.611 alpha=90.00 beta=90.00 gamma=90.00
Space group I4/mmm (No. 139)
Asymmetric unit:
Ge (0.000, 0.500, 0.250)
Pt (0.000, 0.000, 0.127)
I (0.000, 0.000, 0.500)

Properties
Formation energy (no corrections): -0.5 eV per formula unit
DOS at the Fermi energy: 3.78 states/eV per cell
Crystal system: tetragonal


The following is a DFT calculation (PBE-GGA) of a geometry-optimized RbDyGeSe4 structure.

Unit cell a=6.767 b=7.076 c=9.500 alpha=90.00 beta=108.06 gamma=90.00
Space group P2_1/m (No. 11)
Asymmetric unit:
Rb (0.250, 0.250, 0.059)
Dy (0.226, 0.250, 0.550)
Ge (0.224, 0.750, 0.334)
Se (0.015, 0.509, 0.703)
Se (0.427, 0.750, 0.174)
Se (0.443, 0.750, 0.581)

Properties
Formation energy (no corrections): -7.9 eV per formula unit
Crystal system: monoclinic